1.
Here is a relaxed structure of GdZrH from Alexandria via LeMat-Bulk. Energies are from PBE. Values from VASP.

Space-group type   P3m1 (156)
Energy relative to the lowest polymorph listed for this composition   19 meV per atom

```
&SYSTEM
  ibrav = 0, nat = 3, ntyp = 3
/
ATOMIC_SPECIES
H 1.01 H.upf
Gd 157.25 Gd.upf
Zr 91.22 Zr.upf
CELL_PARAMETERS angstrom
3.412 0.000 0.000
-1.706 2.955 0.000
0.000 0.000 5.469
ATOMIC_POSITIONS angstrom
H 0.000 1.970 3.479
Gd 0.000 0.000 5.110
Zr 1.706 0.985 2.348
```

2.
Here is a relaxed structure of GdHf2 from Alexandria via LeMat-Bulk. Energies are from PBE. Values from VASP.

ΔH_f (0 K)   0.91 eV/f.u.
Space-group type   Fd-3m (227)
Energy relative to the lowest polymorph listed for this composition   182 meV per atom

```
&SYSTEM
  ibrav = 0, nat = 6, ntyp = 2
/
ATOMIC_SPECIES
Gd 157.25 Gd.upf
Hf 178.49 Hf.upf
CELL_PARAMETERS angstrom
6.109 0.000 0.000
3.054 5.290 0.000
3.054 1.763 4.988
ATOMIC_POSITIONS angstrom
Gd 0.000 0.000 0.000
Gd 3.054 1.763 1.247
Hf 4.581 4.409 3.117
Hf 6.109 1.763 3.117
Hf 7.636 4.409 3.117
Hf 6.109 3.527 0.623
```

3.
Here is a relaxed structure of GdHf2 from Alexandria via LeMat-Bulk. Energies are from PBE. Values from VASP.

ΔH_f (0 K)   0.37 eV/f.u.
Space-group type   I4/mmm (139)
Energy relative to the lowest polymorph listed for this composition   0 meV per atom

```
&SYSTEM
  ibrav = 0, nat = 3, ntyp = 2
/
ATOMIC_SPECIES
Gd 157.25 Gd.upf
Hf 178.49 Hf.upf
CELL_PARAMETERS angstrom
-2.020 2.450 0.316
-2.470 -1.999 -0.289
2.188 -1.234 7.442
ATOMIC_POSITIONS angstrom
Gd 0.000 0.000 0.000
Hf -2.265 -0.141 2.719
Hf -0.036 -0.643 4.750
```

no.,density (Mg/m³),N(E_F) (states/eV/cell),energy (eV/cell)
1,7.5,1.79,-26.43
2,10.6,15.75,-66.15
3,11.1,3.92,-33.62